The following is a PBE calculation of a geometry-optimized La3Mg2Pd3 structure, from Alexandria.

Summary:
- M_tot: 0.000 μB per atom
- Density: 6.64 g/cm³
- Electronic total energy: -77.7 eV per cell
- ΔE_f: -15.23 kcal/mol of atoms

CIF file:
```
data_La3Mg2Pd3
_chemical_formula_sum 'La6 Mg4 Pd6'
_space_group_name_H-M_alt 'P 63/m c m'
_space_group_IT_number 193
_space_group_name_Hall '-P 6c 2'
_cell_length_a 8.6802
_cell_length_b 8.6802
_cell_length_c 6.0160
_cell_angle_alpha 90.00
_cell_angle_beta 90.00
_cell_angle_gamma 120.00
loop_
_atom_site_label
_atom_site_type_symbol
_atom_site_fract_x
_atom_site_fract_y
_atom_site_fract_z
La1 La 0.0000 0.2704 0.2500
Mg1 Mg 0.3333 0.6667 0.0000
Pd1 Pd 0.0000 0.3973 0.7500
```



The following is a PBE calculation of a geometry-optimized LaMg4Pd2 structure, from Alexandria.

Summary:
- M_tot: 0.000 μB per atom
- Density: 4.82 g/cm³
- Electronic total energy: -50.0 eV per cell
- ΔE_f: -10.82 kcal/mol of atoms

CIF file:
```
data_LaMg4Pd2
_chemical_formula_sum 'La2 Mg8 Pd4'
_space_group_name_H-M_alt 'C m m m'
_space_group_IT_number 65
_space_group_name_Hall '-C 2 2'
_cell_length_a 4.341
_cell_length_b 16.562
_cell_length_c 4.305
_cell_angle_alpha 90.00
_cell_angle_beta 90.00
_cell_angle_gamma 90.00
loop_
_atom_site_label
_atom_site_type_symbol
_atom_site_fract_x
_atom_site_fract_y
_atom_site_fract_z
La1 La 0.000 0.000 0.000
Mg1 Mg 0.000 0.178 0.500
Mg2 Mg 0.000 0.321 0.000
Pd1 Pd 0.000 0.418 0.500
```



The following is a PBE calculation of a geometry-optimized La4MgPd structure, from Alexandria.

Summary:
- M_tot: 0.000 μB per atom
- Density: 5.95 g/cm³
- Electronic total energy: -455.4 eV per cell
- ΔE_f: -7.56 kcal/mol of atoms

CIF file:
```
data_La4MgPd
_chemical_formula_sum 'La64 Mg16 Pd16'
_space_group_name_H-M_alt 'F -4 3 m'
_space_group_IT_number 216
_space_group_name_Hall 'F -4 2 3'
_cell_length_a 14.524
_cell_length_b 14.524
_cell_length_c 14.524
_cell_angle_alpha 90.00
_cell_angle_beta 90.00
_cell_angle_gamma 90.00
loop_
_atom_site_label
_atom_site_type_symbol
_atom_site_fract_x
_atom_site_fract_y
_atom_site_fract_z
La1 La 0.000 0.000 0.186
La2 La 0.058 0.250 0.250
La3 La 0.099 0.099 0.599
Mg1 Mg 0.171 0.171 0.829
Pd1 Pd 0.107 0.107 0.393
```



The following is a PBE calculation of a geometry-optimized La4Mg3Pd structure, from Alexandria.

Summary:
- M_tot: 0.000 μB per atom
- Density: 5.19 g/cm³
- Electronic total energy: -31.9 eV per cell
- ΔE_f: -6.28 kcal/mol of atoms

CIF file:
```
data_La4Mg3Pd
_chemical_formula_sum 'La4 Mg3 Pd1'
_space_group_name_H-M_alt 'P 4/m m m'
_space_group_IT_number 123
_space_group_name_Hall '-P 4 2'
_cell_length_a 3.887
_cell_length_b 3.887
_cell_length_c 15.562
_cell_angle_alpha 90.00
_cell_angle_beta 90.00
_cell_angle_gamma 90.00
loop_
_atom_site_label
_atom_site_type_symbol
_atom_site_fract_x
_atom_site_fract_y
_atom_site_fract_z
La1 La 0.000 0.000 0.108
La2 La 0.000 0.000 0.371
Mg1 Mg 0.500 0.500 0.242
Mg2 Mg 0.500 0.500 0.500
Pd1 Pd 0.500 0.500 0.000
```



The following is a PBE calculation of a geometry-optimized LaMg8Pd4 structure, from Alexandria.

Summary:
- M_tot: 0.000 μB per atom
- Density: 4.91 g/cm³
- Electronic total energy: -89.9 eV per cell
- ΔE_f: -11.52 kcal/mol of atoms

CIF file:
```
data_LaMg8Pd4
_chemical_formula_sum 'La2 Mg16 Pd8'
_space_group_name_H-M_alt 'I 4/m m m'
_space_group_IT_number 139
_space_group_name_Hall '-I 4 2'
_cell_length_a 9.510
_cell_length_b 9.510
_cell_length_c 5.681
_cell_angle_alpha 90.00
_cell_angle_beta 90.00
_cell_angle_gamma 90.00
loop_
_atom_site_label
_atom_site_type_symbol
_atom_site_fract_x
_atom_site_fract_y
_atom_site_fract_z
La1 La 0.000 0.000 0.000
Mg1 Mg 0.000 0.221 0.500
Mg2 Mg 0.000 0.339 0.000
Pd1 Pd 0.250 0.250 0.250
```



The following is a PBE calculation of a geometry-optimized La2MgPd2 structure, from Alexandria.

Summary:
- M_tot: 0.000 μB per atom
- Density: 6.32 g/cm³
- Electronic total energy: -49.2 eV per cell
- ΔE_f: -12.74 kcal/mol of atoms

CIF file:
```
data_La2MgPd2
_chemical_formula_sum 'La4 Mg2 Pd4'
_space_group_name_H-M_alt 'I 4/m m m'
_space_group_IT_number 139
_space_group_name_Hall '-I 4 2'
_cell_length_a 5.741
_cell_length_b 5.741
_cell_length_c 8.207
_cell_angle_alpha 90.00
_cell_angle_beta 90.00
_cell_angle_gamma 90.00
loop_
_atom_site_label
_atom_site_type_symbol
_atom_site_fract_x
_atom_site_fract_y
_atom_site_fract_z
La1 La 0.000 0.500 0.250
Mg1 Mg 0.000 0.000 0.000
Pd1 Pd 0.000 0.000 0.337
```



The following is a PBE calculation of a geometry-optimized La2Mg3Pd2 structure, from Alexandria.

Summary:
- M_tot: 0.000 μB per atom
- Density: 5.57 g/cm³
- Electronic total energy: -58.1 eV per cell
- ΔE_f: -13.19 kcal/mol of atoms

CIF file:
```
data_La2Mg3Pd2
_chemical_formula_sum 'La4 Mg6 Pd4'
_space_group_name_H-M_alt 'C 1 2/m 1'
_space_group_IT_number 12
_cell_length_a 10.576
_cell_length_b 4.387
_cell_length_c 7.875
_cell_angle_alpha 90.00
_cell_angle_beta 113.15
_cell_angle_gamma 90.00
loop_
_space_group_symop_operation_xyz
'x,y,z'
'-x,-y,-z'
'-x,y,-z'
'x,-y,z'
'x+1/2,y+1/2,z'
'-x+1/2,-y+1/2,-z'
'-x+1/2,y+1/2,-z'
'x+1/2,-y+1/2,z'
loop_
_atom_site_label
_atom_site_type_symbol
_atom_site_fract_x
_atom_site_fract_y
_atom_site_fract_z
La1 La 0.141 0.000 0.279
Mg1 Mg 0.000 0.500 0.500
Mg2 Mg 0.136 0.500 0.938
Pd1 Pd 0.144 0.000 0.707
```



The following is a PBE calculation of a geometry-optimized La3Mg2Pd4 structure, from Alexandria.

Summary:
- M_tot: 0.000 μB per atom
- Density: 6.92 g/cm³
- Electronic total energy: -90.4 eV per cell
- ΔE_f: -16.60 kcal/mol of atoms

CIF file:
```
data_La3Mg2Pd4
_chemical_formula_sum 'La6 Mg4 Pd8'
_space_group_name_H-M_alt 'C 1 2/m 1'
_space_group_IT_number 12
_cell_length_a 10.475
_cell_length_b 4.430
_cell_length_c 9.256
_cell_angle_alpha 90.00
_cell_angle_beta 95.62
_cell_angle_gamma 90.00
loop_
_space_group_symop_operation_xyz
'x,y,z'
'-x,-y,-z'
'-x,y,-z'
'x,-y,z'
'x+1/2,y+1/2,z'
'-x+1/2,-y+1/2,-z'
'-x+1/2,y+1/2,-z'
'x+1/2,-y+1/2,z'
loop_
_atom_site_label
_atom_site_type_symbol
_atom_site_fract_x
_atom_site_fract_y
_atom_site_fract_z
La1 La 0.000 0.000 0.000
La2 La 0.125 0.500 0.383
Mg1 Mg 0.178 0.500 0.791
Pd1 Pd 0.086 0.000 0.632
Pd2 Pd 0.211 0.500 0.088
```



The following is a PBE calculation of a geometry-optimized LaMg3Pd structure, from Alexandria.

Summary:
- M_tot: 0.000 μB per atom
- Density: 4.37 g/cm³
- Electronic total energy: -67.5 eV per cell
- ΔE_f: -9.12 kcal/mol of atoms

CIF file:
```
data_LaMg3Pd
_chemical_formula_sum 'La4 Mg12 Pd4'
_space_group_name_H-M_alt 'P n m a'
_space_group_IT_number 62
_cell_length_a 9.300
_cell_length_b 4.296
_cell_length_c 12.097
_cell_angle_alpha 90.00
_cell_angle_beta 90.00
_cell_angle_gamma 90.00
loop_
_space_group_symop_operation_xyz
'x,y,z'
'-x,-y,-z'
'-x+1/2,-y,z+1/2'
'x+1/2,y,-z+1/2'
'x+1/2,-y+1/2,-z+1/2'
'-x+1/2,y+1/2,z+1/2'
'-x,y+1/2,-z'
'x,-y+1/2,z'
loop_
_atom_site_label
_atom_site_type_symbol
_atom_site_fract_x
_atom_site_fract_y
_atom_site_fract_z
La1 La 0.178 0.250 0.010
Mg1 Mg 0.046 0.250 0.418
Mg2 Mg 0.096 0.750 0.234
Mg3 Mg 0.154 0.750 0.783
Pd1 Pd 0.141 0.250 0.634
```



The following is a PBE calculation of a geometry-optimized LaMgPd2 structure, from Alexandria.

Summary:
- M_tot: 0.000 μB per atom
- Density: 7.64 g/cm³
- Electronic total energy: -19.7 eV per cell
- ΔE_f: -16.10 kcal/mol of atoms

CIF file:
```
data_LaMgPd2
_chemical_formula_sum 'La1 Mg1 Pd2'
_space_group_name_H-M_alt 'P 4/m m m'
_space_group_IT_number 123
_space_group_name_Hall '-P 4 2'
_cell_length_a 3.438
_cell_length_b 3.438
_cell_length_c 6.918
_cell_angle_alpha 90.00
_cell_angle_beta 90.00
_cell_angle_gamma 90.00
loop_
_atom_site_label
_atom_site_type_symbol
_atom_site_fract_x
_atom_site_fract_y
_atom_site_fract_z
La1 La 0.000 0.000 0.000
Mg1 Mg 0.000 0.000 0.500
Pd1 Pd 0.500 0.500 0.291
```



Copy entry 8 word for word.
The following is a PBE calculation of a geometry-optimized La3Mg2Pd4 structure, from Alexandria.

Summary:
- M_tot: 0.000 μB per atom
- Density: 6.92 g/cm³
- Electronic total energy: -90.4 eV per cell
- ΔE_f: -16.60 kcal/mol of atoms

CIF file:
```
data_La3Mg2Pd4
_chemical_formula_sum 'La6 Mg4 Pd8'
_space_group_name_H-M_alt 'C 1 2/m 1'
_space_group_IT_number 12
_cell_length_a 10.475
_cell_length_b 4.430
_cell_length_c 9.256
_cell_angle_alpha 90.00
_cell_angle_beta 95.62
_cell_angle_gamma 90.00
loop_
_space_group_symop_operation_xyz
'x,y,z'
'-x,-y,-z'
'-x,y,-z'
'x,-y,z'
'x+1/2,y+1/2,z'
'-x+1/2,-y+1/2,-z'
'-x+1/2,y+1/2,-z'
'x+1/2,-y+1/2,z'
loop_
_atom_site_label
_atom_site_type_symbol
_atom_site_fract_x
_atom_site_fract_y
_atom_site_fract_z
La1 La 0.000 0.000 0.000
La2 La 0.125 0.500 0.383
Mg1 Mg 0.178 0.500 0.791
Pd1 Pd 0.086 0.000 0.632
Pd2 Pd 0.211 0.500 0.088
```